## RbYCu2Bi (PBE)

Data for an optimized crystal structure of RbYCu2Bi.

Computed properties:
crystal system	tetragonal
ΔH_f (0 K)	0.4170	eV/atom

The structure in POSCAR format:
```
RbYCu2Bi
1.0
5.583 0.000 0.000
0.000 5.583 0.000
0.000 0.000 5.926
Rb Y Cu Bi
1 1 2 1
Direct
0.000 0.000 0.000 Rb
0.500 0.500 0.500 Y
0.000 0.500 0.500 Cu
0.500 0.000 0.500 Cu
0.500 0.500 0.000 Bi
```


## CuRe2Bi2 (PBE)

Data for an optimized crystal structure of CuRe2Bi2.

Computed properties:
crystal system	tetragonal
ΔH_f (0 K)	1.1069	eV/atom
energy above the lowest structure with this stoichiometry	26.2	kJ/mol of atoms

The structure in POSCAR format:
```
CuRe2Bi2
1.0
5.474 0.000 0.000
0.000 5.474 0.000
0.000 0.000 7.620
Cu Re Bi
2 4 4
Direct
0.000 0.000 0.000 Cu
0.500 0.500 0.500 Cu
0.000 0.000 0.352 Re
0.000 0.000 0.648 Re
0.500 0.500 0.148 Re
0.500 0.500 0.852 Re
0.000 0.500 0.250 Bi
0.000 0.500 0.750 Bi
0.500 0.000 0.250 Bi
0.500 0.000 0.750 Bi
```


## Cu3ReBi (PBE)

Data for an optimized crystal structure of Cu3ReBi.

Computed properties:
crystal system	cubic
ΔH_f (0 K)	1.2197	eV/atom
energy above the lowest structure with this stoichiometry	0.0	kJ/mol of atoms

The structure in POSCAR format:
```
Cu3ReBi
1.0
4.690 0.000 0.000
0.000 4.690 0.000
0.000 0.000 4.690
Cu Re Bi
3 1 1
Direct
0.000 0.000 0.500 Cu
0.000 0.500 0.000 Cu
0.500 0.000 0.000 Cu
0.000 0.000 0.000 Re
0.500 0.500 0.500 Bi
```


## CuReBi3 (PBE)

Data for an optimized crystal structure of CuReBi3.

Computed properties:
crystal system	cubic
ΔH_f (0 K)	1.3390	eV/atom
energy above the lowest structure with this stoichiometry	28.7	kJ/mol of atoms

The structure in POSCAR format:
```
CuReBi3
1.0
5.160 0.000 0.000
0.000 5.160 0.000
0.000 0.000 5.160
Cu Re Bi
1 1 3
Direct
0.000 0.000 0.000 Cu
0.500 0.500 0.500 Re
0.000 0.000 0.500 Bi
0.000 0.500 0.000 Bi
0.500 0.000 0.000 Bi
```


## CuReBi3 (PBE)

Data for an optimized crystal structure of CuReBi3.

Computed properties:
crystal system	cubic
ΔH_f (0 K)	1.0414	eV/atom
energy above the lowest structure with this stoichiometry	0.0	kJ/mol of atoms

The structure in POSCAR format:
```
CuReBi3
1.0
5.331 0.000 0.000
0.000 5.331 0.000
0.000 0.000 5.331
Cu Re Bi
1 1 3
Direct
0.000 0.000 0.000 Cu
0.500 0.500 0.500 Re
0.000 0.500 0.500 Bi
0.500 0.000 0.500 Bi
0.500 0.500 0.000 Bi
```


## CuRe2Bi2 (PBE)

Data for an optimized crystal structure of CuRe2Bi2.

Computed properties:
crystal system	tetragonal
ΔH_f (0 K)	0.8353	eV/atom
energy above the lowest structure with this stoichiometry	0.0	kJ/mol of atoms

The structure in POSCAR format:
```
CuRe2Bi2
1.0
6.749 0.000 0.000
0.000 6.749 0.000
0.000 0.000 4.419
Cu Re Bi
2 4 4
Direct
0.000 0.000 0.000 Cu
0.500 0.500 0.000 Cu
0.127 0.373 0.000 Re
0.373 0.873 0.000 Re
0.627 0.127 0.000 Re
0.873 0.627 0.000 Re
0.179 0.679 0.500 Bi
0.321 0.179 0.500 Bi
0.679 0.821 0.500 Bi
0.821 0.321 0.500 Bi
```


## CuRe2BiRh (PBE)

Data for an optimized crystal structure of CuRe2BiRh.

Computed properties:
crystal system	tetragonal
ΔH_f (0 K)	1.9558	eV/atom

The structure in POSCAR format:
```
CuRe2BiRh
1.0
4.535 0.000 0.000
0.000 4.535 0.000
0.000 0.000 4.853
Cu Re Bi Rh
1 2 1 1
Direct
0.000 0.000 0.000 Cu
0.000 0.500 0.000 Re
0.500 0.000 0.000 Re
0.000 0.000 0.500 Bi
0.500 0.500 0.500 Rh
```


## SrCu2ReBi (PBE)

Data for an optimized crystal structure of SrCu2ReBi.

Computed properties:
crystal system	tetragonal
ΔH_f (0 K)	1.0812	eV/atom

The structure in POSCAR format:
```
SrCu2ReBi
1.0
5.024 0.000 0.000
0.000 5.024 0.000
0.000 0.000 5.308
Sr Cu Re Bi
1 2 1 1
Direct
0.000 0.000 0.000 Sr
0.000 0.500 0.500 Cu
0.500 0.000 0.500 Cu
0.500 0.500 0.000 Re
0.500 0.500 0.500 Bi
```


Question: Which of these has the highest ΔH_f (0 K)?
Answer: CuRe2BiRh